! Ba2LaMnCu (GGA-PBE, optimized geometry); values from VASP
! SG: P4/mmm, No. 123
! E_form (eV/atom): 1.017
&SYSTEM
  ibrav = 0, nat = 5, ntyp = 4
/
ATOMIC_SPECIES
Ba 137.33 Ba.upf
La 138.91 La.upf
Mn 54.94 Mn.upf
Cu 63.55 Cu.upf
ATOMIC_POSITIONS angstrom
Ba -2.737 -1.214 1.260
Ba 0.465 1.750 2.697
La 0.000 0.000 0.000
Mn -0.975 -1.351 4.958
Cu 1.297 -1.887 1.001
CELL_PARAMETERS angstrom
-5.475 -2.428 2.519
2.595 -3.774 2.002
0.930 3.501 5.394

! BaLaCu2N (GGA-PBE, optimized geometry); values from VASP
! SG: P4/mmm, No. 123
! E (eV per atom): -4.4581
&SYSTEM
  ibrav = 0, nat = 5, ntyp = 4
/
ATOMIC_SPECIES
N 14.01 N.upf
La 138.91 La.upf
Cu 63.55 Cu.upf
Ba 137.33 Ba.upf
ATOMIC_POSITIONS angstrom
N -0.423 -2.026 0.802
La 0.000 0.000 0.000
Cu -0.556 1.114 2.521
Cu 2.703 -0.280 0.720
Ba 1.724 -1.191 4.042
CELL_PARAMETERS angstrom
-1.111 2.228 5.041
-0.847 -4.052 1.604
5.407 -0.560 1.439

! BaLaCuN2 (GGA-PBE, optimized geometry); values from VASP
! SG: P2/c, No. 13
! E (eV per atom): -6.1005
&SYSTEM
  ibrav = 0, nat = 10, ntyp = 4
/
ATOMIC_SPECIES
Ba 137.33 Ba.upf
N 14.01 N.upf
Cu 63.55 Cu.upf
La 138.91 La.upf
ATOMIC_POSITIONS angstrom
Ba -1.183 -4.790 3.538
N -4.682 -2.279 1.684
N -2.057 -5.564 0.913
Cu 0.000 0.000 0.000
N -1.345 -0.994 -0.834
La -3.070 -0.561 0.903
Ba -5.556 -3.053 -0.941
La -3.957 -1.990 4.044
Cu -0.883 -1.430 3.142
N -5.394 -6.850 3.432
CELL_PARAMETERS angstrom
-5.261 0.308 -1.338
0.288 -5.292 -2.349
-1.766 -2.859 6.285

! Ba3LaCu2O6 (GGA-PBE, optimized geometry); values from VASP
! SG: P-3m1, No. 164
! E (eV per atom): -5.9975
&SYSTEM
  ibrav = 0, nat = 12, ntyp = 4
/
ATOMIC_SPECIES
La 138.91 La.upf
Ba 137.33 Ba.upf
O 16.00 O.upf
Cu 63.55 Cu.upf
ATOMIC_POSITIONS angstrom
La 0.000 0.000 3.497
Ba 0.000 3.648 4.601
O -1.569 4.554 2.030
Cu 3.159 1.824 5.530
O 4.729 0.918 4.965
Ba 3.159 1.824 2.394
O 3.159 3.636 4.965
Ba 0.000 0.000 0.000
O 1.569 4.554 2.030
Cu 0.000 3.648 1.465
O 1.590 0.918 4.965
O 0.000 1.836 2.030
CELL_PARAMETERS angstrom
6.318 0.000 0.000
-3.159 5.472 0.000
0.000 0.000 6.995

! Ba2LaCuO5 (GGA-PBE, optimized geometry); values from VASP
! SG: Cmc2_1, No. 36
! E (eV per atom): -6.3601
&SYSTEM
  ibrav = 0, nat = 18, ntyp = 4
/
ATOMIC_SPECIES
O 16.00 O.upf
La 138.91 La.upf
Ba 137.33 Ba.upf
Cu 63.55 Cu.upf
ATOMIC_POSITIONS angstrom
O 0.000 7.060 9.498
O 1.877 6.554 5.249
O 0.000 5.075 0.338
O 0.000 4.552 5.332
La 0.000 2.835 0.723
Ba 1.877 5.834 2.076
O 0.000 4.100 8.377
O 1.877 2.737 11.454
Ba 0.000 1.454 8.198
Cu 0.000 6.325 4.785
Ba 0.000 2.018 4.319
La 1.877 4.454 6.844
O 1.877 0.229 3.376
Cu 1.877 0.964 10.907
O 1.877 3.189 2.255
O 1.877 2.213 6.459
O 0.000 0.735 11.371
Ba 1.877 5.271 10.441
CELL_PARAMETERS angstrom
3.754 0.000 0.000
-1.877 7.289 0.000
0.000 0.000 12.243

! Ba2LaCu2O6 (GGA-PBE, optimized geometry); values from VASP
! SG: R-3m, No. 166
! E (eV per atom): -6.1163
&SYSTEM
  ibrav = 0, nat = 11, ntyp = 4
/
ATOMIC_SPECIES
Ba 137.33 Ba.upf
O 16.00 O.upf
Cu 63.55 Cu.upf
La 138.91 La.upf
ATOMIC_POSITIONS angstrom
Ba 9.143 5.279 3.868
O 6.096 1.695 1.684
Ba 3.048 1.760 2.307
O 4.515 4.432 1.684
Cu 6.096 3.519 4.479
O 7.676 4.432 1.684
Cu 6.096 3.519 1.696
O 7.676 2.607 4.492
O 4.515 2.607 4.492
O 6.096 5.344 4.492
La 0.000 0.000 0.000
CELL_PARAMETERS angstrom
6.096 0.000 0.000
3.048 5.279 0.000
3.048 1.760 6.175

! Ba2LaCu3O6 (GGA-PBE, optimized geometry); values from VASP
! SG: P4/mmm, No. 123
! E (eV per atom): -6.1057
&SYSTEM
  ibrav = 0, nat = 12, ntyp = 4
/
ATOMIC_SPECIES
O 16.00 O.upf
Ba 137.33 Ba.upf
La 138.91 La.upf
Cu 63.55 Cu.upf
ATOMIC_POSITIONS angstrom
O 1.792 -0.111 0.201
Ba 9.451 -0.831 3.857
La 5.733 -0.600 3.440
O 7.398 -1.972 2.116
Cu 4.327 -0.269 0.486
O 4.393 0.997 2.004
Ba 2.016 -0.369 3.023
O 7.542 0.801 2.358
O 4.248 -1.777 1.762
O 10.322 -0.641 1.159
Cu 12.114 -0.752 1.360
Cu 7.788 -0.483 0.874
CELL_PARAMETERS angstrom
-0.179 2.549 3.002
-0.469 -2.998 2.518
12.114 -0.752 1.360

! BaLa2CuO5 (GGA-PBE, optimized geometry); values from VASP
! SG: I4/mcm, No. 140
! E (eV per atom): -7.0909
&SYSTEM
  ibrav = 0, nat = 18, ntyp = 4
/
ATOMIC_SPECIES
La 138.91 La.upf
Ba 137.33 Ba.upf
O 16.00 O.upf
Cu 63.55 Cu.upf
ATOMIC_POSITIONS angstrom
La 1.204 2.248 0.000
Ba 0.000 0.000 2.937
O -0.983 -2.469 4.338
La 5.699 4.656 0.000
O 0.983 4.435 1.535
O 5.921 2.469 1.535
O 2.469 0.983 1.535
Cu 0.000 3.452 2.937
La 2.248 5.699 0.000
O 0.983 2.469 4.338
O 4.435 5.921 1.535
O 3.452 3.452 0.000
O 2.469 -0.983 4.338
O 0.000 0.000 0.000
La 4.656 1.204 0.000
O -2.469 0.983 4.338
Cu 3.452 0.000 2.937
Ba 3.452 3.452 2.937
CELL_PARAMETERS angstrom
6.904 0.000 0.000
0.000 6.904 0.000
-3.452 -3.452 5.873

! BaLaCuO4 (GGA-PBE, optimized geometry); values from VASP
! SG: I4mm, No. 107
! E (eV per atom): -6.5597
&SYSTEM
  ibrav = 0, nat = 7, ntyp = 4
/
ATOMIC_SPECIES
O 16.00 O.upf
Cu 63.55 Cu.upf
La 138.91 La.upf
Ba 137.33 Ba.upf
ATOMIC_POSITIONS angstrom
O 0.000 1.973 6.336
O 0.000 0.000 2.349
O 1.973 1.973 4.440
O 1.973 0.000 6.336
Cu 1.973 1.973 6.448
La 0.000 0.000 4.716
Ba 1.973 1.973 1.855
CELL_PARAMETERS angstrom
3.945 0.000 0.000
0.000 3.945 0.000
-1.973 -1.973 6.496

! Ba4LaPrCu6O14 (GGA-PBE, optimized geometry); values from VASP
! SG: Pmmm, No. 47
! E (eV per atom): -6.0629
&SYSTEM
  ibrav = 0, nat = 26, ntyp = 5
/
ATOMIC_SPECIES
Cu 63.55 Cu.upf
Pr 140.91 Pr.upf
O 16.00 O.upf
Ba 137.33 Ba.upf
La 138.91 La.upf
ATOMIC_POSITIONS angstrom
Cu 12.253 -16.166 8.598
Pr 0.087 -1.253 -2.479
O 2.060 -1.067 -0.969
O -0.254 -2.454 -0.304
O 8.922 -11.772 6.261
O 11.162 -13.075 5.417
O 4.513 -4.302 0.751
Ba 11.234 -15.960 5.342
Ba 8.869 -12.839 3.683
La 6.726 -10.012 2.179
O 6.961 -7.532 2.469
O 4.356 -5.747 3.057
O 11.310 -17.712 7.811
Cu 7.684 -10.137 5.391
Ba 4.583 -7.185 0.676
Cu 1.025 -1.353 0.719
O 11.005 -14.520 7.722
Cu 5.595 -7.381 3.926
Ba 2.218 -4.065 -0.984
O 6.402 -11.235 4.366
O 8.714 -9.845 3.699
O 13.614 -16.311 7.138
O 2.273 -2.999 1.595
Cu 3.314 -4.373 2.326
O 4.655 -8.931 3.141
Cu 9.964 -13.146 6.991
CELL_PARAMETERS angstrom
-2.222 -2.647 -1.810
2.396 0.141 -3.149
13.278 -17.519 9.317

! Ba2La4CuPtO10 (GGA-PBE, optimized geometry); values from VASP
! SG: Cmmm, No. 65
! E (eV per atom): -7.2569
&SYSTEM
  ibrav = 0, nat = 18, ntyp = 5
/
ATOMIC_SPECIES
O 16.00 O.upf
La 138.91 La.upf
Cu 63.55 Cu.upf
Ba 137.33 Ba.upf
Pt 195.08 Pt.upf
ATOMIC_POSITIONS angstrom
O -2.454 2.419 -0.288
O -6.517 -0.145 1.595
O -7.964 -0.030 -2.894
O -1.778 -2.093 -2.101
O -3.331 -1.630 2.816
O -6.145 -2.630 0.596
La -5.702 0.440 -3.219
O -9.356 -1.166 -0.584
Cu -5.648 -0.830 -0.039
La -2.761 0.213 -1.559
O -5.150 0.971 -0.674
La -4.666 3.229 -1.223
Ba -3.869 1.263 2.062
O -1.939 -0.494 0.507
La -3.797 -2.576 -3.555
Pt -1.416 -1.156 2.350
O -4.778 -1.515 -1.672
Ba -3.194 -3.249 0.249
CELL_PARAMETERS angstrom
-4.907 4.838 -0.576
-3.557 -4.185 -4.201
-2.831 -2.312 4.700

! Ba2Sr2La2Cu6O13 (GGA-PBE, optimized geometry); values from VASP
! SG: Fmm2, No. 42
! E (eV per atom): -6.0858
&SYSTEM
  ibrav = 0, nat = 25, ntyp = 5
/
ATOMIC_SPECIES
Sr 87.62 Sr.upf
Cu 63.55 Cu.upf
Ba 137.33 Ba.upf
O 16.00 O.upf
La 138.91 La.upf
ATOMIC_POSITIONS angstrom
Sr 9.062 3.361 4.855
Cu 7.570 0.252 5.313
Cu 14.770 1.867 3.647
Ba 16.054 2.197 0.463
O 7.222 1.558 3.966
O 10.867 2.408 3.089
Cu 11.390 1.065 4.475
O 13.974 3.133 2.341
Cu 6.370 2.746 2.740
O 17.101 2.490 3.004
Sr 9.062 0.613 2.191
O 22.284 5.071 0.342
O 2.069 0.419 2.354
O 9.378 0.375 5.186
O 10.327 2.345 0.367
La 12.470 4.173 4.052
O 7.919 3.406 2.059
O 22.848 5.139 3.058
O 14.591 3.213 5.044
O 2.753 0.516 5.041
Ba 16.054 5.038 3.218
O 15.913 4.957 0.459
Cu 13.514 4.476 0.955
La 12.470 1.390 1.354
Cu 10.122 3.699 1.756
CELL_PARAMETERS angstrom
12.522 0.009 -0.009
11.262 5.411 -0.010
1.260 0.168 5.400